The following is a GGA-PBE calculation of an optimized crystal structure of Zn3XeO3, from the Alexandria database.

Geometry as extended XYZ:
```
14
Lattice="-0.943 5.467 -1.954 -5.503 -1.472 -1.462 -1.848 1.594 5.351" Properties=species:S:1:pos:R:3 pbc="T T T"
Zn -4.138 0.459 3.282
O -0.933 3.132 0.361
O -2.300 0.429 2.310
O -1.857 3.929 3.037
Zn -4.599 1.630 -2.074
Zn -1.160 2.164 2.187
O -5.052 -0.307 1.579
O -2.987 0.631 -1.220
Xe 0.000 0.000 0.000
Zn -1.847 2.365 -1.342
Zn -1.631 4.897 1.210
Xe -4.147 2.794 0.968
Zn -3.214 -0.337 0.607
O -3.459 3.364 -2.196
```

density: 6.13 g/cm³
formation energy (no corrections): -0.924 eV per atom
final energy: -50.39 eV/cell